# TcHg2Cl

A PBEsol-optimized structure of TcHg2Cl (SCAN, the Alexandria database).

abc: 2.930 2.930 9.224
angles: 90.00 90.00 90.00
Space group P4mm (No. 99)
Unique sites:
Tc1 0.000 0.000 0.000 [1 per cell]
Hg1 0.000 0.000 0.473 [1 per cell]
Hg2 0.500 0.500 0.765 [1 per cell]
Cl1 0.500 0.500 0.131 [1 per cell]

Values from the calculation:
As for the energy above the most stable polymorph in this dataset: 15.06 kJ per mole of atoms. For the uncorrected formation energy, the calculation gives 338 meV per atom.

=====

# NiSnP2O

A PBEsol-optimized structure of NiSnP2O (SCAN, the Alexandria database).

abc: 5.018 5.018 3.789
angles: 90.00 90.00 90.00
Space group P4/mmm (No. 123)
Unique sites:
Ni1 0.000 0.000 0.000 [1 per cell]
Sn1 0.500 0.500 0.500 [1 per cell]
P1 0.000 0.500 0.500 [2 per cell]
O1 0.500 0.500 0.000 [1 per cell]

Values from the calculation:
For the uncorrected formation energy, the calculation gives 890 meV per atom.

=====

# LiFe2BiRh

A PBEsol-optimized structure of LiFe2BiRh (SCAN, the Alexandria database).

abc: 4.605 4.605 4.445
angles: 90.00 90.00 90.00
Space group P4/mmm (No. 123)
Unique sites:
Li1 0.000 0.000 0.000 [1 per cell]
Fe1 0.000 0.500 0.500 [2 per cell]
Bi1 0.500 0.500 0.000 [1 per cell]
Rh1 0.000 0.000 0.500 [1 per cell]

Values from the calculation:
The value obtained for the calculated formation energy is 0.60 eV per atom.

=====

# BaPuO3

A PBEsol-optimized structure of BaPuO3 (SCAN, the Alexandria database).

abc: 6.106 8.617 6.174
angles: 90.00 90.00 90.00
Space group Pnma (No. 62)
Unique sites:
Ba1 0.008 0.250 0.006 [4 per cell]
Pu1 0.000 0.000 0.500 [4 per cell]
O1 0.005 0.750 0.430 [4 per cell]
O2 0.240 0.538 0.760 [8 per cell]

Values from the calculation:
For the uncorrected formation energy, the calculation gives -3200 meV per atom.

=====

# TiSiRhCl2

A PBEsol-optimized structure of TiSiRhCl2 (SCAN, the Alexandria database).

abc: 4.497 4.497 4.848
angles: 90.00 90.00 90.00
Space group P4/mmm (No. 123)
Unique sites:
Ti1 0.000 0.000 0.000 [1 per cell]
Si1 0.500 0.500 0.500 [1 per cell]
Rh1 0.000 0.000 0.500 [1 per cell]
Cl1 0.000 0.500 0.000 [2 per cell]

Values from the calculation:
For the uncorrected formation energy, the calculation gives 113 meV per atom.

=====

# BaAs2

A PBEsol-optimized structure of BaAs2 (SCAN, the Alexandria database).

abc: 4.5654 4.5654 9.2051
angles: 90.00 90.00 120.00
Space group P6_3/mmc (No. 194)
Unique sites:
Ba1 0.0000 0.0000 0.2500 [2 per cell]
As1 0.3333 0.6667 0.0112 [4 per cell]

Values from the calculation:
The value obtained for the calculated formation energy is -0.88 eV per atom.

=====

# TaNbCu6Se8

A PBEsol-optimized structure of TaNbCu6Se8 (SCAN, the Alexandria database).

abc: 11.175 11.175 11.175
angles: 90.00 90.00 90.00
Space group F-43m (No. 216)
Unique sites:
Ta1 0.000 0.000 0.000 [4 per cell]
Nb1 0.000 0.000 0.500 [4 per cell]
Cu1 0.000 0.000 0.250 [24 per cell]
Se1 0.126 0.126 0.874 [16 per cell]
Se2 0.127 0.127 0.373 [16 per cell]

Values from the calculation:
For the uncorrected formation energy, the calculation gives -560 meV per atom.

=====

# YHI2Br

A PBEsol-optimized structure of YHI2Br (SCAN, the Alexandria database).

abc: 5.936 5.936 5.485
angles: 90.00 90.00 90.00
Space group P4/mmm (No. 123)
Unique sites:
Y1 0.000 0.000 0.000 [1 per cell]
H1 0.500 0.500 0.500 [1 per cell]
I1 0.000 0.500 0.000 [2 per cell]
Br1 0.000 0.000 0.500 [1 per cell]

Values from the calculation:
As for the raw total energy: -25.68 eV per atom.